(1)
! Sr4Au, relaxed, DFT GGA-PBE; values from VASP
! distance to the lowest polymorph of the same formula = 0.00 kcal/mol of atoms
&SYSTEM
  ibrav = 0, nat = 5, ntyp = 2
/
ATOMIC_SPECIES
Sr 87.62 Sr.upf
Au 196.97 Au.upf
ATOMIC_POSITIONS crystal
Sr 0.500 0.000 0.500
Sr 0.000 0.000 0.000
Sr 0.500 0.500 0.000
Sr 0.000 0.500 0.500
Au 0.500 0.500 0.500
CELL_PARAMETERS angstrom
-1.963 4.031 -4.287
-5.004 -3.521 -1.019
-3.095 3.136 4.366

***

(2)
! SrAu2, relaxed, DFT GGA-PBE; values from VASP
! electronic total energy = -3.41 eV per atom
&SYSTEM
  ibrav = 0, nat = 6, ntyp = 2
/
ATOMIC_SPECIES
Au 196.97 Au.upf
Sr 87.62 Sr.upf
ATOMIC_POSITIONS crystal
Au 0.038 0.038 0.972
Sr 0.945 0.945 0.472
Au 0.639 0.639 0.222
Au 0.639 0.639 0.722
Au 0.240 0.240 0.472
Sr 0.332 0.332 0.972
CELL_PARAMETERS angstrom
5.789 0.001 0.024
4.000 4.185 0.024
-0.024 -0.010 6.222

***

(3)
! Sr5Au2, relaxed, DFT GGA-PBE; values from VASP
! electronic total energy = -2.65 eV per atom
&SYSTEM
  ibrav = 0, nat = 14, ntyp = 2
/
ATOMIC_SPECIES
Sr 87.62 Sr.upf
Au 196.97 Au.upf
ATOMIC_POSITIONS crystal
Sr 0.368 0.187 0.569
Sr 0.998 0.917 0.187
Au 0.409 0.083 0.224
Sr 0.799 0.313 0.431
Sr 0.002 0.083 0.813
Au 0.815 0.583 0.224
Sr 0.632 0.813 0.431
Sr 0.201 0.687 0.569
Au 0.591 0.917 0.776
Sr 0.426 0.750 0.000
Sr 0.189 0.417 0.187
Sr 0.811 0.583 0.813
Sr 0.574 0.250 0.000
Au 0.185 0.417 0.776
CELL_PARAMETERS angstrom
-1.616 -7.028 -1.592
6.770 -0.500 -4.667
4.562 0.860 8.701

***

(4)
! SrAu3, relaxed, DFT GGA-PBE; values from VASP
! electronic total energy = -3.39 eV per atom
&SYSTEM
  ibrav = 0, nat = 24, ntyp = 2
/
ATOMIC_SPECIES
Au 196.97 Au.upf
Sr 87.62 Sr.upf
ATOMIC_POSITIONS crystal
Au 0.182 0.463 0.071
Au 0.182 0.463 0.429
Au 0.182 0.037 0.071
Au 0.818 0.963 0.929
Au 0.538 0.453 0.750
Au 0.390 0.250 0.585
Au 0.818 0.963 0.571
Au 0.538 0.047 0.750
Sr 0.691 0.250 0.101
Au 0.610 0.750 0.085
Sr 0.309 0.750 0.601
Au 0.818 0.537 0.929
Sr 0.309 0.750 0.899
Au 0.182 0.037 0.429
Au 0.818 0.537 0.571
Sr 0.985 0.750 0.250
Au 0.462 0.953 0.250
Au 0.132 0.250 0.250
Au 0.390 0.250 0.915
Au 0.462 0.547 0.250
Sr 0.015 0.250 0.750
Sr 0.691 0.250 0.399
Au 0.868 0.750 0.750
Au 0.610 0.750 0.415
CELL_PARAMETERS angstrom
5.790 0.000 0.000
0.000 7.092 0.000
0.000 0.000 13.813

***

(5)
! Sr7Au3, relaxed, DFT GGA-PBE; values from VASP
! electronic total energy = -2.69 eV per atom
&SYSTEM
  ibrav = 0, nat = 20, ntyp = 2
/
ATOMIC_SPECIES
Sr 87.62 Sr.upf
Au 196.97 Au.upf
ATOMIC_POSITIONS crystal
Sr 0.542 0.085 0.566
Sr 0.458 0.542 0.066
Sr 0.667 0.333 0.046
Au 0.188 0.812 0.332
Sr 0.125 0.875 0.748
Sr 0.750 0.875 0.748
Sr 0.875 0.750 0.248
Sr 0.333 0.667 0.546
Sr 0.250 0.125 0.248
Sr 0.085 0.542 0.066
Au 0.623 0.812 0.332
Sr 0.915 0.458 0.566
Sr 0.875 0.125 0.248
Au 0.377 0.188 0.832
Au 0.812 0.623 0.832
Sr 0.458 0.915 0.066
Sr 0.125 0.250 0.748
Sr 0.542 0.458 0.566
Au 0.188 0.377 0.332
Au 0.812 0.188 0.832
CELL_PARAMETERS angstrom
-3.878 -10.433 0.683
4.538 3.650 -9.509
6.455 -2.254 2.215

***

(6)
! SrAu3, relaxed, DFT GGA-PBE; values from VASP
! electronic total energy = -2.22 eV per atom
&SYSTEM
  ibrav = 0, nat = 4, ntyp = 2
/
ATOMIC_SPECIES
Au 196.97 Au.upf
Sr 87.62 Sr.upf
ATOMIC_POSITIONS crystal
Au 0.000 0.500 0.000
Au 0.000 0.000 0.500
Au 0.500 0.000 0.000
Sr 0.000 0.000 0.000
CELL_PARAMETERS angstrom
6.032 0.000 0.000
0.000 6.032 0.000
0.000 0.000 6.032

***

(7)
! SrAu3, relaxed, DFT GGA-PBE; values from VASP
! electronic total energy = -3.18 eV per atom
&SYSTEM
  ibrav = 0, nat = 4, ntyp = 2
/
ATOMIC_SPECIES
Au 196.97 Au.upf
Sr 87.62 Sr.upf
ATOMIC_POSITIONS crystal
Au 0.667 0.333 0.250
Sr 0.667 0.333 0.750
Au 0.000 0.000 0.467
Au 0.000 0.000 0.033
CELL_PARAMETERS angstrom
-1.376 -2.594 3.305
-1.308 -0.817 -4.143
5.157 -3.844 -0.870

***

(8)
! Sr4Au, relaxed, DFT GGA-PBE; values from VASP
! distance to the lowest polymorph of the same formula = 1.07 kcal/mol of atoms
&SYSTEM
  ibrav = 0, nat = 5, ntyp = 2
/
ATOMIC_SPECIES
Au 196.97 Au.upf
Sr 87.62 Sr.upf
ATOMIC_POSITIONS crystal
Au 0.000 0.000 0.000
Sr 0.564 0.752 0.316
Sr 0.248 0.564 0.812
Sr 0.752 0.436 0.188
Sr 0.436 0.248 0.684
CELL_PARAMETERS angstrom
-6.461 2.602 3.000
4.779 -5.764 -1.209
4.374 3.211 5.299

***

Please write out number 3 again, unchanged.
! Sr5Au2, relaxed, DFT GGA-PBE; values from VASP
! electronic total energy = -2.65 eV per atom
&SYSTEM
  ibrav = 0, nat = 14, ntyp = 2
/
ATOMIC_SPECIES
Sr 87.62 Sr.upf
Au 196.97 Au.upf
ATOMIC_POSITIONS crystal
Sr 0.368 0.187 0.569
Sr 0.998 0.917 0.187
Au 0.409 0.083 0.224
Sr 0.799 0.313 0.431
Sr 0.002 0.083 0.813
Au 0.815 0.583 0.224
Sr 0.632 0.813 0.431
Sr 0.201 0.687 0.569
Au 0.591 0.917 0.776
Sr 0.426 0.750 0.000
Sr 0.189 0.417 0.187
Sr 0.811 0.583 0.813
Sr 0.574 0.250 0.000
Au 0.185 0.417 0.776
CELL_PARAMETERS angstrom
-1.616 -7.028 -1.592
6.770 -0.500 -4.667
4.562 0.860 8.701